1.
The following is a DFT calculation (PBE) of an optimized crystal structure of Gd2SnGe.

Symmetry: Amm2, No. 38

a = 4.1524 Å, b = 6.0339 Å, c = 6.0339 Å
α = 43.28°, β = 90.00°, γ = 90.00°
Atoms (fractional coordinates):
Gd 0.5000 0.1356 0.1356
Gd 0.0000 0.8570 0.8570
Ge 0.0000 0.5914 0.5914
Sn 0.5000 0.4160 0.4160


2.
The following is a DFT calculation (PBE) of an optimized crystal structure of PmAlPO.

Symmetry: P4/nmm, No. 129

a = 4.0414 Å, b = 4.0414 Å, c = 8.6740 Å
α = 90.00°, β = 90.00°, γ = 90.00°
Atoms (fractional coordinates):
Al 0.0000 0.0000 0.5000
Al 0.5000 0.5000 0.5000
O 0.0000 0.0000 0.0000
O 0.5000 0.5000 0.0000
P 0.5000 0.0000 0.3387
P 0.0000 0.5000 0.6613
Pm 0.0000 0.5000 0.1306
Pm 0.5000 0.0000 0.8694


3.
The following is a DFT calculation (PBE) of an optimized crystal structure of DyHo2Mg3AgAu2.

Symmetry: Amm2, No. 38

a = 3.9716 Å, b = 7.7221 Å, c = 7.7221 Å
α = 120.05°, β = 90.00°, γ = 90.00°
Atoms (fractional coordinates):
Ag 0.0000 0.0004 0.0004
Au 0.5000 0.6669 0.3325
Au 0.5000 0.3325 0.6669
Dy 0.0000 0.5867 0.5867
Ho 0.0000 0.4132 0.0000
Ho 0.0000 0.0000 0.4132
Mg 0.5000 0.7491 0.0003
Mg 0.5000 0.2507 0.2507
Mg 0.5000 0.0003 0.7491


4.
The following is a DFT calculation (PBE) of an optimized crystal structure of AlCdInO4.

Symmetry: P4_122, No. 91

a = 6.2861 Å, b = 6.2861 Å, c = 8.4551 Å
α = 90.00°, β = 90.00°, γ = 90.00°
Atoms (fractional coordinates):
Al 0.5000 0.7379 0.0000
Al 0.2621 0.5000 0.2500
Al 0.5000 0.2621 0.5000
Al 0.7379 0.5000 0.7500
Cd 0.0000 0.7423 0.0000
Cd 0.2576 0.0000 0.2500
Cd 0.0000 0.2576 0.5000
Cd 0.7423 0.0000 0.7500
In 0.7443 0.2557 0.1250
In 0.7443 0.7443 0.3750
In 0.2557 0.7443 0.6250
In 0.2557 0.2557 0.8750
O 0.7138 0.9572 0.0223
O 0.2845 0.5200 0.0230
O 0.4800 0.7155 0.2270
O 0.0428 0.2862 0.2277
O 0.0428 0.7138 0.2723
O 0.4800 0.2845 0.2730
O 0.2845 0.4800 0.4770
O 0.7138 0.0428 0.4777
O 0.2862 0.0428 0.5223
O 0.7155 0.4800 0.5230
O 0.5200 0.2845 0.7270
O 0.9572 0.7138 0.7277
O 0.9572 0.2862 0.7723
O 0.5200 0.7155 0.7730
O 0.7155 0.5200 0.9770
O 0.2862 0.9572 0.9777


5.
The following is a DFT calculation (PBE) of an optimized crystal structure of Be2Pt2W3.

Symmetry: R3m, No. 160

a = 6.6610 Å, b = 6.6610 Å, c = 6.6610 Å
α = 37.53°, β = 37.53°, γ = 37.53°
Atoms (fractional coordinates):
Be 0.1946 0.1946 0.1946
Be 0.7656 0.7656 0.7656
Pt 0.0634 0.0634 0.0634
Pt 0.4819 0.4819 0.4819
W 0.3354 0.3354 0.3354
W 0.6260 0.6260 0.6260
W 0.9082 0.9082 0.9082


6.
The following is a DFT calculation (PBE) of an optimized crystal structure of MgAu.

Symmetry: Pmmn, No. 59

a = 10.0260 Å, b = 3.1545 Å, c = 4.7477 Å
α = 90.00°, β = 90.00°, γ = 90.00°
Atoms (fractional coordinates):
Au 0.4869 0.0000 0.0000
Au 0.2321 0.5000 0.0000
Au 0.6845 0.0000 0.5000
Au 0.4298 0.5000 0.5000
Mg 0.0077 0.0000 0.0000
Mg 0.7103 0.5000 0.0000
Mg 0.2064 0.0000 0.5000
Mg 0.9090 0.5000 0.5000


7.
The following is a DFT calculation (PBE) of an optimized crystal structure of LuCuNiAs.

Symmetry: F-43m, No. 216

a = 4.4512 Å, b = 4.4512 Å, c = 4.4512 Å
α = 60.00°, β = 60.00°, γ = 60.00°
Atoms (fractional coordinates):
As 0.0000 0.0000 0.0000
Cu 0.7500 0.7500 0.7500
Lu 0.5000 0.5000 0.5000
Ni 0.2500 0.2500 0.2500


8.
The following is a DFT calculation (PBE) of an optimized crystal structure of Lu4Fe3W2N3.

Symmetry: C2/c, No. 15

a = 5.3128 Å, b = 5.3128 Å, c = 14.8974 Å
α = 100.37°, β = 100.37°, γ = 64.71°
Atoms (fractional coordinates):
Fe 0.7787 0.7189 0.2474
Fe 0.1991 0.8009 0.2500
Fe 0.2811 0.2213 0.2526
Fe 0.7189 0.7787 0.7474
Fe 0.8009 0.1991 0.7500
Fe 0.2213 0.2811 0.7526
Lu 0.3856 0.7837 0.0744
Lu 0.0104 0.4047 0.0948
Lu 0.5953 0.9896 0.4052
Lu 0.2163 0.6144 0.4256
Lu 0.7837 0.3856 0.5744
Lu 0.4047 0.0104 0.5948
Lu 0.9896 0.5953 0.9052
Lu 0.6144 0.2163 0.9256
N 0.0000 0.0000 0.0000
N 0.3971 0.3590 0.0529
N 0.6410 0.6029 0.4471
N 0.0000 0.0000 0.5000
N 0.3590 0.3971 0.5529
N 0.6029 0.6410 0.9471
W 0.6399 0.1815 0.1730
W 0.8185 0.3601 0.3270
W 0.1815 0.6399 0.6730
W 0.3601 0.8185 0.8270


9.
The following is a DFT calculation (PBE) of an optimized crystal structure of HoAlHg2.

Symmetry: Ama2, No. 40

a = 4.8656 Å, b = 6.4860 Å, c = 6.4860 Å
α = 120.05°, β = 90.00°, γ = 90.00°
Atoms (fractional coordinates):
Al 0.7500 0.3080 0.1620
Al 0.2500 0.1620 0.3080
Hg 0.7500 0.8516 0.1781
Hg 0.7500 0.8364 0.6685
Hg 0.2500 0.6685 0.8364
Hg 0.2500 0.1781 0.8516
Ho 0.2500 0.6624 0.3329
Ho 0.7500 0.3329 0.6624


10.
The following is a DFT calculation (PBE) of an optimized crystal structure of Sc4CuB3.

Symmetry: P6_3/mmc, No. 194

a = 3.3052 Å, b = 3.3052 Å, c = 26.9096 Å
α = 90.00°, β = 90.00°, γ = 120.00°
Atoms (fractional coordinates):
B 0.0000 0.0000 0.0000
B 0.6667 0.3333 0.1195
B 0.6667 0.3333 0.3805
B 0.0000 0.0000 0.5000
B 0.3333 0.6667 0.6195
B 0.3333 0.6667 0.8805
Cu 0.3333 0.6667 0.2500
Cu 0.6667 0.3333 0.7500
Sc 0.3333 0.6667 0.0586
Sc 0.0000 0.0000 0.1718
Sc 0.0000 0.0000 0.3282
Sc 0.3333 0.6667 0.4414
Sc 0.6667 0.3333 0.5586
Sc 0.0000 0.0000 0.6718
Sc 0.0000 0.0000 0.8282
Sc 0.6667 0.3333 0.9414


11.
The following is a DFT calculation (PBE) of an optimized crystal structure of Tb2Ge4PdO12.

Symmetry: P-1, No. 2

a = 4.9132 Å, b = 7.2361 Å, c = 7.9171 Å
α = 67.72°, β = 87.82°, γ = 77.23°
Atoms (fractional coordinates):
Ge 0.5856 0.6066 0.2039
Ge 0.4512 0.1697 0.2209
Ge 0.5488 0.8303 0.7791
Ge 0.4144 0.3934 0.7961
O 0.2661 0.3367 0.0107
O 0.2492 0.7536 0.1945
O 0.7278 0.9790 0.2041
O 0.5948 0.3328 0.2980
O 0.2192 0.0680 0.3831
O 0.7849 0.5751 0.3936
O 0.2151 0.4249 0.6064
O 0.7808 0.9320 0.6169
O 0.4052 0.6672 0.7020
O 0.2722 0.0210 0.7959
O 0.7508 0.2464 0.8055
O 0.7339 0.6633 0.9893
Pd 0.0000 0.0000 0.0000
Tb 0.0485 0.7679 0.4519
Tb 0.9515 0.2321 0.5481


12.
The following is a DFT calculation (PBE) of an optimized crystal structure of NaGdSeO.

Symmetry: P2_1/c, No. 14

a = 7.0258 Å, b = 7.4530 Å, c = 6.4433 Å
α = 90.00°, β = 102.72°, γ = 90.00°
Atoms (fractional coordinates):
Gd 0.5451 0.6239 0.2315
Gd 0.4549 0.1239 0.2685
Gd 0.5451 0.8761 0.7315
Gd 0.4549 0.3761 0.7685
Na 0.9017 0.2650 0.0054
Na 0.0983 0.7650 0.4946
Na 0.9017 0.2350 0.5054
Na 0.0983 0.7350 0.9946
O 0.6027 0.3445 0.1128
O 0.3973 0.8445 0.3872
O 0.6027 0.1555 0.6128
O 0.3973 0.6555 0.8872
Se 0.7956 0.9228 0.1682
Se 0.2044 0.4228 0.3318
Se 0.7956 0.5772 0.6682
Se 0.2044 0.0772 0.8318


13.
The following is a DFT calculation (PBE) of an optimized crystal structure of PrSmHg6.

Symmetry: P-6m2, No. 187
ΔE_f: -0.391 eV per atom

a = 6.7399 Å, b = 6.7399 Å, c = 5.0412 Å
α = 90.00°, β = 90.00°, γ = 120.00°
Atoms (fractional coordinates):
Hg 0.3406 0.1703 0.0000
Hg 0.8297 0.1703 0.0000
Hg 0.8297 0.6594 0.0000
Hg 0.5020 0.0039 0.5000
Hg 0.5020 0.4980 0.5000
Hg 0.9961 0.4980 0.5000
Pr 0.0000 0.0000 0.5000
Sm 0.3333 0.6667 0.0000


14.
The following is a DFT calculation (PBE) of an optimized crystal structure of GaFe2Sn.

Symmetry: Pm-3m, No. 221

a = 6.1442 Å, b = 6.1442 Å, c = 6.1442 Å
α = 90.00°, β = 90.00°, γ = 90.00°
Atoms (fractional coordinates):
Fe 0.2320 0.2320 0.2320
Fe 0.7680 0.2320 0.2320
Fe 0.2320 0.7680 0.2320
Fe 0.7680 0.7680 0.2320
Fe 0.2320 0.2320 0.7680
Fe 0.7680 0.2320 0.7680
Fe 0.2320 0.7680 0.7680
Fe 0.7680 0.7680 0.7680
Ga 0.0000 0.0000 0.0000
Ga 0.5000 0.0000 0.0000
Ga 0.0000 0.5000 0.0000
Ga 0.0000 0.0000 0.5000
Sn 0.5000 0.5000 0.0000
Sn 0.5000 0.0000 0.5000
Sn 0.0000 0.5000 0.5000
Sn 0.5000 0.5000 0.5000


15.
The following is a DFT calculation (PBE) of an optimized crystal structure of YCuSnSe2S.

Symmetry: Cmcm, No. 63

a = 7.0249 Å, b = 7.0249 Å, c = 10.1670 Å
α = 90.00°, β = 90.00°, γ = 147.32°
Atoms (fractional coordinates):
Cu 0.0259 0.9741 0.2500
Cu 0.9741 0.0259 0.7500
S 0.4260 0.5740 0.2500
S 0.5740 0.4260 0.7500
Se 0.1462 0.8538 0.0659
Se 0.1462 0.8538 0.4341
Se 0.8538 0.1462 0.5659
Se 0.8538 0.1462 0.9341
Sn 0.7536 0.2464 0.2500
Sn 0.2464 0.7536 0.7500
Y 0.5000 0.5000 0.0000
Y 0.5000 0.5000 0.5000


16.
The following is a DFT calculation (PBE) of an optimized crystal structure of PrSmSi2Cl2.

Symmetry: P3m1, No. 156

a = 4.0794 Å, b = 4.0794 Å, c = 10.9070 Å
α = 90.00°, β = 90.00°, γ = 120.00°
Atoms (fractional coordinates):
Cl 0.3333 0.6667 0.3359
Cl 0.6667 0.3333 0.6577
Pr 0.0000 0.0000 0.8159
Si 0.6667 0.3333 0.0110
Si 0.3333 0.6667 0.9956
Sm 0.0000 0.0000 0.1839


17.
The following is a DFT calculation (PBE) of an optimized crystal structure of YHo2Er2Tm2Ni2Te2.

Symmetry: Imm2, No. 44

a = 9.3031 Å, b = 9.3031 Å, c = 9.3031 Å
α = 156.19°, β = 66.90°, γ = 118.52°
Atoms (fractional coordinates):
Er 0.0987 0.7465 0.3522
Er 0.3943 0.7465 0.6478
Ho 0.0275 0.8946 0.1329
Ho 0.7617 0.8946 0.8671
Ni 0.6428 0.4051 0.2376
Ni 0.1675 0.4051 0.7624
Te 0.1410 0.1410 0.0000
Te 0.7413 0.2413 0.5000
Tm 0.4118 0.0972 0.3146
Tm 0.7827 0.0972 0.6854
Y 0.4768 0.4768 0.0000


18.
The following is a DFT calculation (PBE) of an optimized crystal structure of NaGdFeSe3.

Symmetry: C2/m, No. 12

a = 9.1333 Å, b = 9.1333 Å, c = 8.2444 Å
α = 104.32°, β = 104.32°, γ = 25.92°
Atoms (fractional coordinates):
Fe 0.5194 0.5194 0.2196
Fe 0.4806 0.4806 0.7804
Gd 0.1722 0.1722 0.0949
Gd 0.8278 0.8278 0.9051
Na 0.8666 0.8666 0.4268
Na 0.1334 0.1334 0.5732
Se 0.0000 0.0000 0.0000
Se 0.3371 0.3371 0.1510
Se 0.6648 0.6648 0.3286
Se 0.5000 0.5000 0.5000
Se 0.3352 0.3352 0.6714
Se 0.6629 0.6629 0.8490


19.
The following is a DFT calculation (PBE) of an optimized crystal structure of SrTmS2.

Symmetry: P4/mmm, No. 123

a = 4.0356 Å, b = 4.0356 Å, c = 5.6931 Å
α = 90.00°, β = 90.00°, γ = 90.00°
Atoms (fractional coordinates):
S 0.0000 0.0000 0.0000
S 0.5000 0.5000 0.5000
Sr 0.0000 0.0000 0.5000
Tm 0.5000 0.5000 0.0000


20.
The following is a DFT calculation (PBE) of an optimized crystal structure of Cs2TlCdCl6.

Symmetry: P1, No. 1

a = 7.6623 Å, b = 7.6657 Å, c = 10.8496 Å
α = 90.02°, β = 90.00°, γ = 90.00°
Atoms (fractional coordinates):
Cd 0.9501 0.0504 0.0000
Cd 0.4499 0.5497 0.5000
Cl 0.1902 0.8050 0.0004
Cl 0.1958 0.2900 0.0008
Cl 0.9488 0.0501 0.2428
Cl 0.4510 0.5502 0.2572
Cl 0.2018 0.3124 0.4991
Cl 0.2123 0.7975 0.4997
Cl 0.6875 0.3018 0.5002
Cl 0.6981 0.7869 0.5009
Cl 0.4489 0.5491 0.7428
Cl 0.9512 0.0505 0.7572
Cl 0.7044 0.8106 0.9992
Cl 0.7101 0.2958 0.9996
Cs 0.9500 0.5503 0.2498
Cs 0.4499 0.0499 0.2500
Cs 0.4500 0.0499 0.7499
Cs 0.9501 0.5499 0.7502
Tl 0.4501 0.5503 0.0000
Tl 0.9499 0.0497 0.5000


Number 1: raw total energy -5.28 eV/atom. Number 2: raw total energy -6.41 eV/atom. Number 3: raw total energy -3.64 eV/atom. Number 4: raw total energy -5.75 eV/atom. Number 5: raw total energy -8.39 eV/atom. Number 6: raw total energy -2.72 eV/atom. Number 7: raw total energy -4.96 eV/atom. Number 8: raw total energy -8.11 eV/atom. Number 9: raw total energy -2.53 eV/atom. Number 10: raw total energy -6.06 eV/atom. Number 11: raw total energy -6.90 eV/atom. Number 12: raw total energy -5.84 eV/atom. Number 13: raw total energy -1.80 eV/atom. Number 14: raw total energy -5.75 eV/atom. Number 15: raw total energy -5.20 eV/atom. Number 16: raw total energy -5.40 eV/atom. Number 17: raw total energy -5.34 eV/atom. Number 18: raw total energy -5.14 eV/atom. Number 19: raw total energy -5.52 eV/atom. Number 20: raw total energy -2.98 eV/atom.